Material: ZnRuPt2
Method: DFT, SCAN
State: PBEsol geometry

Results
D(E_F) (states/eV per cell): 3.5
E_tot (eV per formula unit): -189.53
Formation energy (eV/atom): -0.201

Cell lengths 2.7016, 4.4372, 4.7105 Å; angles 90.00, 90.00, 90.00 degrees
Positions (direct):
Zn 0.5000 0.5000 0.2002
Pt 0.0000 0.0000 0.0544
Pt 0.0000 0.5000 0.6918
Ru 0.5000 0.0000 0.5536

Material: Zn2RuPt
Method: DFT, SCAN
State: PBEsol geometry

Results
D(E_F) (states/eV per cell): 1.7
E_tot (eV per formula unit): -132.53
Formation energy (eV/atom): -0.120

Cell lengths 2.6956, 2.6956, 8.5304 Å; angles 90.00, 90.00, 115.94 degrees
Each line ends with the local moment (μB).
Positions (direct):
Pt 0.5000 0.5000 0.5000  -0.01
Zn 0.0000 0.0000 0.2462  -0.01
Zn 0.0000 0.0000 0.7538  -0.01
Ru 0.5000 0.5000 0.0000  0.76